a | LiTe4As, optimized geometry, DFT PBE; total magnetization = 0.00 μB/f.u.; SG = F-43m; density = 5.5 g/cm3
1.0
0.9333 -5.5172 2.9455
2.3914 -0.0945 5.8531
-3.6650 -1.6348 4.8869
Te As Li
4 1 1
Cartesian
0.3346 -5.4599 6.6069
1.0573 -2.7722 8.0480
-0.1280 -2.7253 5.1470
-1.9445 -3.5356 7.5691
-0.2552 -5.4349 10.2642
0.0000 0.0000 0.0000



b | LiTe4As, optimized geometry, DFT PBE; total magnetization = 0.00 μB/f.u.; SG = C2/c; density = 5.2 g/cm3
1.0
-1.5981 4.9078 1.9133
-7.8333 -2.6799 1.7679
7.1511 -3.2596 5.6977
Te Li As
8 2 2
Cartesian
-6.7911 1.8664 3.9127
4.5108 -2.8982 5.4661
-1.5376 -1.6236 3.4949
-5.2087 -0.2643 5.0678
-0.7428 0.5918 5.8839
-2.7921 2.2451 2.7286
2.9283 -0.7675 4.3110
0.5118 -3.2768 6.6503
-0.3192 2.9060 4.1570
-1.9612 -3.9378 5.2218
1.6033 -0.5377 6.6778
-3.8837 -0.4941 2.7010



Which of them is the most stable? Correct choice: b.



a | Li3TeAs, optimized geometry, DFT PBE; total magnetization = 0.00 μB/f.u.; SG = Pm-3m; density = 3.4 g/cm3
1.0
-0.9478 -3.0700 3.5675
-3.4609 -2.0117 -2.6506
3.1897 -3.0949 -1.8159
Li Te As
3 1 1
Cartesian
-1.7305 -1.0058 -1.3253
-0.4739 -1.5350 1.7838
1.5949 -1.5475 -0.9080
-0.6095 -4.0883 -0.4495
0.0000 0.0000 0.0000



b | Li3TeAs, optimized geometry, DFT PBE; total magnetization = 2.00 μB/f.u.; SG = Pm-3m; density = 2.7 g/cm3
1.0
5.1603 0.0000 0.0000
0.0000 5.1603 0.0000
0.0000 0.0000 5.1603
Li Te As
3 1 1
Cartesian
0.0000 0.0000 2.5802
2.5802 0.0000 0.0000
0.0000 2.5802 0.0000
0.0000 0.0000 0.0000
2.5802 2.5802 2.5802



Which of them is the most stable? Correct choice: a.